A geometry-optimized Tm3Tl4SnSe8 structure. Source: Alexandria via LeMat-Bulk, functional PBE.

abc: 8.3113 8.3113 23.2225
angles: 90.00 90.00 120.00
Space group R-3m (No. 166, hexagonal axes)
Symmetry-distinct sites (fractional):
Tm1 0.0000 0.5000 0.0000 (multiplicity 9)
Tl1 0.0000 0.0000 0.5000 (multiplicity 3)
Tl2 0.0000 0.5000 0.5000 (multiplicity 9)
Sn1 0.0000 0.0000 0.0000 (multiplicity 3)
Se1 0.0000 0.0000 0.2661 (multiplicity 6)
Se2 0.0032 0.5016 0.2660 (multiplicity 18)

Summary:
Crystal system: trigonal
Energy relative to the elements, uncorrected in meV per atom: -1120